The following is a DFT calculation (PBE with a Hubbard U) of a relaxed structure of LaVSi2F.

It has space group P4/mmm (No. 123), with a = 4.529 Å, b = 4.529 Å, c = 5.687 Å, α = 90.00°, β = 90.00° and γ = 90.00°. Symmetry generates all atoms from La at (0.000, 0.000, 0.000), V at (0.000, 0.000, 0.500), Si at (0.000, 0.500, 0.500) and F at (0.500, 0.500, 0.000).

Its crystal system is tetragonal. As for the total energy: -5.196 eV/atom. As for the total magnetization: 1.71 μB per formula unit.